DFT (PBE) results for a relaxed Ga2Mo crystal.

Values from the calculation:
For the energy above the most stable polymorph in this dataset, the calculation gives 0.0000 eV per atom. Its energy of formation is -0.16 eV per atom.

abc: 3.6854 7.2938 7.1396
angles: 75.20 90.00 90.00
Closest atoms and distances in Å follow each position.
Element x y z (fractional)
Ga1 0.7500 0.8758 0.9964  4 Ga 2.59, 4 Mo 2.74-2.79
Ga2 0.2500 0.1242 0.0036  4 Ga 2.59, 4 Mo 2.74-2.79
Ga3 0.7500 0.0330 0.3678  2 Ga 2.59, 4 Mo 2.63
Ga4 0.2500 0.4670 0.6322  2 Ga 2.59, 4 Mo 2.63
Mo1 0.2500 0.7998 0.3007  10 Ga 2.63-2.93
Ga5 0.2500 0.9670 0.6322  2 Ga 2.59, 4 Mo 2.63
Ga6 0.7500 0.3758 0.9964  4 Ga 2.59, 4 Mo 2.74-2.79
Mo2 0.2500 0.2998 0.3007  10 Ga 2.63-2.93
Mo3 0.7500 0.2002 0.6993  10 Ga 2.63-2.93
Ga7 0.2500 0.6242 0.0036  4 Ga 2.59, 4 Mo 2.74-2.79
Mo4 0.7500 0.7002 0.6993  10 Ga 2.63-2.93
Ga8 0.7500 0.5330 0.3678  2 Ga 2.59, 4 Mo 2.63


DFT (PBE) results for a relaxed LaZrB3 crystal.

Values from the calculation:
For the energy above the most stable polymorph in this dataset, the calculation gives 0.0000 eV per atom. Its energy of formation is 0.58 eV per atom.

abc: 4.4729 4.4729 4.4729
angles: 90.00 90.00 90.00
Closest atoms and distances in Å follow each position.
Element x y z (fractional)
B1 0.0000 0.5000 0.0000  2 Zr 2.24
La1 0.5000 0.5000 0.5000  12 B 3.16
B2 0.5000 0.0000 0.0000  2 Zr 2.24
Zr1 0.0000 0.0000 0.0000  6 B 2.24
B3 0.0000 0.0000 0.5000  2 Zr 2.24


DFT (PBE) results for a relaxed Ag7Pt6Au16 crystal.

Values from the calculation:
Its energy of formation is 0.26 eV per atom.

abc: 9.1864 9.1864 9.1864
angles: 60.00 60.00 60.00
Closest atoms and distances in Å follow each position.
Element x y z (fractional)
Au1 0.6369 0.1210 0.1210  4 Ag 2.72-2.84, 3 Au 2.99
Au2 0.3463 0.9611 0.3463  3 Ag 2.67, 3 Pt 2.82, 3 Au 2.99
Au3 0.6537 0.0389 0.6537  3 Ag 2.67, 3 Pt 2.82, 3 Au 2.99
Au4 0.8790 0.8790 0.3631  4 Ag 2.72-2.84, 3 Au 2.99
Ag1 0.0000 0.5000 0.5000  8 Au 2.67-2.84
Au5 0.3463 0.3463 0.9611  3 Ag 2.67, 3 Pt 2.82, 3 Au 2.99
Au6 0.1210 0.1210 0.6369  4 Ag 2.72-2.84, 3 Au 2.99
Au7 0.0389 0.6537 0.6537  3 Ag 2.67, 3 Pt 2.82, 3 Au 2.99
Ag2 0.5000 0.0000 0.5000  8 Au 2.67-2.84
Ag3 0.0000 0.0000 0.5000  8 Au 2.67-2.84
Pt1 0.6578 0.6578 0.3422  4 Au 2.82, 4 Pt 2.90
Pt2 0.3422 0.3422 0.6578  4 Au 2.82, 4 Pt 2.90
Ag4 0.5000 0.5000 0.0000  8 Au 2.67-2.84
Pt3 0.3422 0.6578 0.3422  4 Au 2.82, 4 Pt 2.90
Ag5 0.0000 0.0000 0.0000  8 Au 2.72
Au8 0.1210 0.6369 0.1210  4 Ag 2.72-2.84, 3 Au 2.99
Au9 0.6537 0.6537 0.6537  3 Ag 2.67, 3 Pt 2.82, 3 Au 2.99
Au10 0.9611 0.3463 0.3463  3 Ag 2.67, 3 Pt 2.82, 3 Au 2.99
Au11 0.3631 0.8790 0.8790  4 Ag 2.72-2.84, 3 Au 2.99
Au12 0.1210 0.1210 0.1210  4 Ag 2.72-2.84, 3 Au 2.99
Au13 0.3463 0.3463 0.3463  3 Ag 2.67, 3 Pt 2.82, 3 Au 2.99
Ag6 0.5000 0.0000 0.0000  8 Au 2.67-2.84
Au14 0.8790 0.3631 0.8790  4 Ag 2.72-2.84, 3 Au 2.99
Pt4 0.6578 0.3422 0.6578  4 Au 2.82, 4 Pt 2.90
Ag7 0.0000 0.5000 0.0000  8 Au 2.67-2.84
Au15 0.6537 0.6537 0.0389  3 Ag 2.67, 3 Pt 2.82, 3 Au 2.99
Au16 0.8790 0.8790 0.8790  4 Ag 2.72-2.84, 3 Au 2.99
Pt5 0.6578 0.3422 0.3422  4 Au 2.82, 4 Pt 2.90
Pt6 0.3422 0.6578 0.6578  4 Au 2.82, 4 Pt 2.90


DFT (PBE) results for a relaxed KAlTc2Ni crystal.

Values from the calculation:
Its energy of formation is 1.57 eV per atom.

abc: 4.5681 5.1942 4.5681
angles: 90.00 90.00 90.00
Closest atoms and distances in Å follow each position.
Element x y z (fractional)
Tc1 0.0000 0.0000 0.5000  2 Ni 2.28
Tc2 0.5000 0.0000 0.0000  2 Ni 2.28
Ni1 0.0000 0.0000 0.0000  4 Tc 2.28
K1 0.0000 0.5000 0.0000  2 Ni 2.60
Al1 0.5000 0.5000 0.5000  4 K 3.23, 8 Tc 3.46


DFT (PBE) results for a relaxed K7H12Se crystal.

Values from the calculation:
As for the final energy: -0.1825 Ry/atom.

abc: 7.3346 7.3348 7.3344
angles: 99.66 99.66 99.66
Closest atoms and distances in Å follow each position.
Element x y z (fractional)
K1 0.5000 0.5000 0.5000  6 H 2.89
H1 0.0277 0.7766 0.9196  1 Se 1.70
K2 0.2014 0.4277 0.9076  6 H 2.67-2.87
H2 0.2739 0.1821 0.5971  5 K 2.67-2.89, 1 H 2.91
H3 0.9195 0.0277 0.7766  1 Se 1.70
H4 0.7766 0.9196 0.0277  1 Se 1.70
H5 0.7261 0.8179 0.4029  5 K 2.67-2.89, 1 H 2.91
H6 0.4029 0.7261 0.8179  5 K 2.67-2.89, 1 H 2.91
K3 0.5723 0.0924 0.7986  6 H 2.67-2.87
H7 0.1821 0.5971 0.2739  5 K 2.67-2.89, 1 H 2.91
Se1 0.0000 0.0000 0.0000  6 H 1.70
H8 0.5970 0.2739 0.1821  5 K 2.67-2.89, 1 H 2.91
H9 0.0805 0.9723 0.2234  1 Se 1.70
K4 0.0924 0.7986 0.5723  6 H 2.67-2.87
K5 0.4277 0.9076 0.2014  6 H 2.67-2.87
K6 0.7986 0.5723 0.0924  6 H 2.67-2.87
K7 0.9076 0.2014 0.4277  6 H 2.67-2.87
H10 0.2234 0.0804 0.9723  1 Se 1.70
H11 0.9723 0.2234 0.0804  1 Se 1.70
H12 0.8179 0.4029 0.7261  5 K 2.67-2.89, 1 H 2.91


DFT (PBE) results for a relaxed Na2MnBe2 crystal.

Values from the calculation:
Its energy of formation is 1.54 eV per atom.

abc: 4.4990 4.4990 5.0287
angles: 63.43 63.43 90.00
Closest atoms and distances in Å follow each position.
Element x y z (fractional)
Be1 0.7500 0.2500 0.5000  4 Na 2.42
Na1 0.3657 0.3657 0.2685  1 Na 2.09
Mn1 0.0000 0.0000 0.0000  2 Na 2.85, 8 Be 2.98
Be2 0.2500 0.7500 0.5000  4 Na 2.42
Na2 0.6343 0.6343 0.7315  1 Na 2.09


DFT (PBE) results for a relaxed GdInCu2 crystal.

Values from the calculation:
Its energy of formation is -0.08 eV per atom.

abc: 3.4639 3.4639 6.5612
angles: 90.00 90.00 90.00
Closest atoms and distances in Å follow each position.
Element x y z (fractional)
Gd1 0.5000 0.5000 0.5000  8 Cu 3.02, 2 In 3.28
Cu1 0.0000 0.0000 0.7705  4 In 2.88, 1 Cu 3.01, 4 Gd 3.02
Cu2 0.0000 0.0000 0.2295  4 In 2.88, 1 Cu 3.01, 4 Gd 3.02
In1 0.5000 0.5000 0.0000  8 Cu 2.88


DFT (PBE) results for a relaxed VAsRu crystal.

Values from the calculation:
Its energy of formation is -0.04 eV per atom.

abc: 4.2256 6.8316 6.8391
angles: 90.07 90.00 90.00
Closest atoms and distances in Å follow each position.
Element x y z (fractional)
V1 0.0000 0.6612 0.5979  3 Ru 2.46-2.49, 1 V 2.58
As1 0.0000 0.0616 0.7039  3 Ru 2.45-2.66
Ru1 0.5000 0.1554 0.3915  3 As 2.45-2.66, 3 V 2.46-2.49, 1 Ru 2.59
V2 0.5000 0.5985 0.3394  3 Ru 2.46-2.49, 1 V 2.58
V3 0.0000 0.3388 0.4021  3 Ru 2.46-2.49, 1 V 2.58
Ru2 0.5000 0.8446 0.6085  3 As 2.45-2.66, 3 V 2.46-2.49, 1 Ru 2.59
V4 0.5000 0.4015 0.6606  3 Ru 2.46-2.49, 1 V 2.58
As2 0.5000 0.7026 0.9378  3 Ru 2.45-2.67
As3 0.0000 0.9384 0.2961  3 Ru 2.45-2.66
Ru3 0.0000 0.3920 0.8440  3 As 2.45-2.67, 3 V 2.46-2.49, 1 Ru 2.59
Ru4 0.0000 0.6080 0.1560  3 As 2.45-2.67, 3 V 2.46-2.49, 1 Ru 2.59
As4 0.5000 0.2974 0.0622  3 Ru 2.45-2.67


DFT (PBE) results for a relaxed Ac3ErAg4 crystal.

Values from the calculation:
Its energy of formation is -0.26 eV per atom.

abc: 3.8609 3.8609 15.5749
angles: 90.00 90.00 90.00
Closest atoms and distances in Å follow each position.
Element x y z (fractional)
Ag1 0.0000 0.0000 0.1006  1 Ag 3.13, 4 Er 3.15, 4 Ac 3.48
Ag2 0.0000 0.0000 0.3698  8 Ac 3.40
Ac1 0.5000 0.5000 0.5000  8 Ag 3.40
Ac2 0.5000 0.5000 0.2395  8 Ag 3.40-3.48, 1 Er 3.73
Er1 0.5000 0.5000 0.0000  8 Ag 3.15
Ag3 0.0000 0.0000 0.8994  1 Ag 3.13, 4 Er 3.15, 4 Ac 3.48
Ag4 0.0000 0.0000 0.6302  8 Ac 3.40
Ac3 0.5000 0.5000 0.7605  8 Ag 3.40-3.48, 1 Er 3.73


DFT (PBE) results for a relaxed CaTiAlHg2 crystal.

Values from the calculation:
Its energy of formation is 1.12 eV per atom.

abc: 5.5693 5.5831 5.5693
angles: 90.00 90.00 90.00
Closest atoms and distances in Å follow each position.
Element x y z (fractional)
Al1 0.5000 0.5000 0.5000  4 Ti 3.94, 8 Hg 3.94
Hg1 0.5000 0.0000 0.0000  2 Ca 2.78
Ti1 0.0000 0.5000 0.0000  2 Ca 2.79
Ca1 0.0000 0.0000 0.0000  4 Hg 2.78, 2 Ti 2.79
Hg2 0.0000 0.0000 0.5000  2 Ca 2.78


DFT (PBE) results for a relaxed SrBe2Sb crystal.

Values from the calculation:
The calculation puts the uncorrected formation energy at -0.042 eV per atom.

abc: 3.9686 3.9686 6.6062
angles: 72.45 72.45 60.00
Closest atoms and distances in Å follow each position.
Element x y z (fractional)
Sb1 0.4599 0.4599 0.6216  6 Be 2.66-2.67
Be1 0.7195 0.7195 0.8409  3 Be 2.29
Sr1 0.2680 0.2680 0.1954  6 Be 3.17, 3 Sb 3.49-3.50
Be2 0.0526 0.0526 0.8421  3 Be 2.29


DFT (PBE) results for a relaxed RbSr2TlO crystal.

Values from the calculation:
The calculation puts the uncorrected formation energy at 0.167 eV per atom.

abc: 6.6159 4.5483 6.6159
angles: 90.00 90.00 90.00
Closest atoms and distances in Å follow each position.
Element x y z (fractional)
O1 0.0000 0.5000 0.0000  2 Rb 2.27
Sr1 0.0000 0.0000 0.5000  2 Rb 3.31
Rb1 0.0000 0.0000 0.0000  2 O 2.27
Sr2 0.5000 0.0000 0.0000  2 Rb 3.31
Tl1 0.5000 0.5000 0.5000  8 Sr 4.01


Number 1: ρ 8426 kg/m3. Number 2: ρ 4872 kg/m3. Number 3: ρ 15379 kg/m3. Number 4: ρ 4914 kg/m3. Number 5: ρ 1613 kg/m3. Number 6: ρ 2506 kg/m3. Number 7: ρ 8420 kg/m3. Number 8: ρ 7635 kg/m3. Number 9: ρ 9153 kg/m3. Number 10: ρ 4949 kg/m3. Number 11: ρ 4471 kg/m3. Number 12: ρ 4013 kg/m3.